DFT (PBEsol) results for a relaxed CaCu2Si8O20 crystal.

Structure (CIF):
```
data_CaCu2Si8O20
_space_group_name_H-M_alt 'P -4 21 c'
_space_group_IT_number 114
_cell_length_a 7.2261
_cell_length_b 7.2261
_cell_length_c 15.2404
_cell_angle_alpha 90.00
_cell_angle_beta 90.00
_cell_angle_gamma 90.00
loop_
_space_group_symop_operation_xyz
'x,y,z'
'y,-x,-z'
'-x,-y,z'
'-y,x,-z'
'x+1/2,-y+1/2,-z+1/2'
'y+1/2,x+1/2,z+1/2'
'-x+1/2,y+1/2,-z+1/2'
'-y+1/2,-x+1/2,z+1/2'
loop_
_atom_site_label
_atom_site_type_symbol
_atom_site_fract_x
_atom_site_fract_y
_atom_site_fract_z
Ca1 Ca 0.0000 0.0000 0.0000
Cu1 Cu 0.0000 0.5000 0.0870
Si1 Si 0.1836 0.7456 0.8534
Si2 Si 0.1853 0.2573 0.3533
O1 O 0.0336 0.7343 0.3750
O2 O 0.0381 0.2245 0.8765
O3 O 0.0941 0.7302 0.5873
O4 O 0.0974 0.2676 0.0811
O5 O 0.2115 0.2272 0.2483
```

Properties
The total magnetic moment is 0.00 μB per formula unit. The calculation puts the total energy at -0.56027 Ry per atom.